1.
## Ta6VRu (GGA-PBE)

Data for a geometry-optimized Ta6VRu structure.

```
data_Ta6VRu
_cell_length_a 9.4174
_cell_length_b 9.4174
_cell_length_c 5.4945
_cell_angle_alpha 90.00
_cell_angle_beta 90.00
_cell_angle_gamma 120.00
_symmetry_space_group_name_H-M 'R -3 m'
_symmetry_Int_Tables_number 166
_symmetry_space_group_name_Hall '-R 3 2"'
loop_
_atom_site_label
_atom_site_type_symbol
_atom_site_fract_x
_atom_site_fract_y
_atom_site_fract_z
_atom_site_occupancy
Ta1 Ta 0.0000 0.5000 0.2492 1
V1 V 0.0000 0.0000 0.5000 1
Ru1 Ru 0.0000 0.0000 0.0000 1
```

Properties
formation energy: 0.118 eV/atom
total energy: -11.07 eV/atom
offset from the most stable computed form: 271 meV per atom

=====

2.
## TaV2Ru3 (GGA-PBE)

Data for a geometry-optimized TaV2Ru3 structure.

```
data_TaV2Ru3
_cell_length_a 2.957
_cell_length_b 2.957
_cell_length_c 9.928
_cell_angle_alpha 90.00
_cell_angle_beta 90.00
_cell_angle_gamma 90.00
_symmetry_space_group_name_H-M 'P 4/m m m'
_symmetry_Int_Tables_number 123
_symmetry_space_group_name_Hall '-P 4 2'
loop_
_atom_site_label
_atom_site_type_symbol
_atom_site_fract_x
_atom_site_fract_y
_atom_site_fract_z
_atom_site_occupancy
Ta1 Ta 0.000 0.000 0.000 1
V1 V 0.000 0.000 0.340 1
Ru1 Ru 0.500 0.500 0.197 1
Ru2 Ru 0.500 0.500 0.500 1
```

Properties
formation energy: -0.286 eV/atom
total energy: -9.94 eV/atom

=====

3.
## Ta5VRu6 (GGA-PBE)

Data for a geometry-optimized Ta5VRu6 structure.

```
data_Ta5VRu6
_cell_length_a 4.301
_cell_length_b 6.893
_cell_length_c 12.733
_cell_angle_alpha 90.00
_cell_angle_beta 90.00
_cell_angle_gamma 90.00
_symmetry_space_group_name_H-M 'I m m m'
_symmetry_Int_Tables_number 71
_symmetry_space_group_name_Hall '-I 2 2'
loop_
_atom_site_label
_atom_site_type_symbol
_atom_site_fract_x
_atom_site_fract_y
_atom_site_fract_z
_atom_site_occupancy
Ta1 Ta 0.000 0.000 0.000 1
Ta2 Ta 0.000 0.000 0.359 1
Ta3 Ta 0.000 0.500 0.319 1
V1 V 0.000 0.500 0.000 1
Ru1 Ru 0.000 0.234 0.167 1
Ru2 Ru 0.000 0.280 0.500 1
```

Properties
formation energy: -0.343 eV/atom
total energy: -10.68 eV/atom

=====

- Which of these has the highest formation energy?
  Ta6VRu

=====

- Which value of total energy does entry 3 give?
  -10.68 eV/atom